1.
11
Lattice="5.076 0.000 0.000 0.000 8.016 0.468 -2.538 -2.944 8.648" Properties=species:S:1:pos:R:3 comment="Tb2Pm8Cd | Alexandria via LeMat-Bulk | PBE-GGA | optimized geometry" e_form_ev_per_atom=-0.019 e_above_lowest_polymorph_ev_per_atom=0.000 pbc="T T T"
Pm 2.538 6.232 3.546
Pm 0.000 2.036 7.349
Pm 0.000 -1.160 5.570
Pm 0.000 0.639 2.436
Pm 0.000 5.536 1.122
Tb 2.538 1.308 4.936
Cd 2.538 0.000 0.000
Pm 2.538 4.433 6.680
Pm 2.538 3.036 1.767
Pm 2.538 -0.464 7.994
Tb 0.000 3.764 4.180

***

2.
Ho2CdH2 | PBE-GGA | optimized geometry

Structure (extended XYZ):
```
5
Lattice="3.517 0.000 -1.314 -0.491 3.482 -1.314 0.444 0.511 6.551" Properties=species:S:1:pos:R:3 pbc="T T T"
Ho 1.360 1.565 3.640
H 0.733 2.867 1.961
Ho 2.110 2.428 0.283
H 2.737 1.126 1.961
Cd 0.000 0.000 0.000
```

***

3.
4
Lattice="5.446 0.000 0.000 2.723 4.717 0.000 2.723 1.572 4.447" Properties=species:S:1:pos:R:3 comment="SrPrHgGe | Alexandria via LeMat-Bulk | PBE-GGA | optimized geometry" e_form_ev_per_atom=-0.507 pbc="T T T"
Pr 0.000 0.000 0.000
Sr 5.446 3.145 2.224
Ge 2.723 1.572 1.112
Hg 8.170 4.717 3.335

***

4.
3
Lattice="-3.843 -4.290 2.359 2.163 -0.049 3.435 -3.116 2.571 -0.400" Properties=species:S:1:pos:R:3 comment="PbSCl | Alexandria via LeMat-Bulk | PBE-GGA | optimized geometry" e_above_lowest_polymorph_ev_per_atom=0.330 pbc="T T T"
S -2.963 -0.096 1.865
Cl -3.598 -4.017 2.209
Pb -2.077 -1.945 3.679

***

Number 1: electronic total energy -48.39 eV/cell, total magnetization 0.0 μB/cell. Number 2: electronic total energy -19.63 eV/cell, total magnetization 0.0 μB/cell. Number 3: electronic total energy -13.41 eV/cell, total magnetization 0.0 μB/cell. Number 4: electronic total energy -10.91 eV/cell, total magnetization 0.0 μB/cell.